Record 1
# Lu4Nb2Pb3C3 PBE optimized geometry
data_Lu4Nb2Pb3C3
_chemical_formula_sum 'Lu16 Nb8 Pb12 C12'
_cell_length_a 10.313
_cell_length_b 5.980
_cell_length_c 15.464
_cell_angle_alpha 90.00
_cell_angle_beta 103.14
_cell_angle_gamma 90.00
_space_group_name_H-M_alt 'C 1 2/c 1'
_space_group_IT_number 15
loop_
_space_group_symop_operation_xyz
'x,y,z'
'-x,-y,-z'
'-x,y,-z+1/2'
'x,-y,z+1/2'
'x+1/2,y+1/2,z'
'-x+1/2,-y+1/2,-z'
'-x+1/2,y+1/2,-z+1/2'
'x+1/2,-y+1/2,z+1/2'
loop_
_atom_site_label
_atom_site_type_symbol
_atom_site_fract_x
_atom_site_fract_y
_atom_site_fract_z
_atom_site_occupancy
Lu1 Lu 0.113 0.074 0.086 1
Lu2 Lu 0.216 0.088 0.414 1
Nb1 Nb 0.062 0.413 0.928 1
Pb1 Pb 0.000 0.107 0.750 1
Pb2 Pb 0.156 0.426 0.247 1
C1 C 0.078 0.267 0.500 1
C2 C 0.250 0.250 0.000 1
# - mass density (g/cm³) = 11.0
# - E_tot (eV per cell) = -332.08
# - total magnetization (μB/cell) = 0.02

***

Record 2
# Lu2Nb4C3S3 PBE optimized geometry
data_Lu2Nb4C3S3
_chemical_formula_sum 'Lu8 Nb16 C12 S12'
_cell_length_a 10.121
_cell_length_b 5.869
_cell_length_c 12.405
_cell_angle_alpha 90.00
_cell_angle_beta 105.62
_cell_angle_gamma 90.00
_space_group_name_H-M_alt 'C 1 2/c 1'
_space_group_IT_number 15
loop_
_space_group_symop_operation_xyz
'x,y,z'
'-x,-y,-z'
'-x,y,-z+1/2'
'x,-y,z+1/2'
'x+1/2,y+1/2,z'
'-x+1/2,-y+1/2,-z'
'-x+1/2,y+1/2,-z+1/2'
'x+1/2,-y+1/2,z+1/2'
loop_
_atom_site_label
_atom_site_type_symbol
_atom_site_fract_x
_atom_site_fract_y
_atom_site_fract_z
_atom_site_occupancy
Lu1 Lu 0.044 0.081 0.390 1
Nb1 Nb 0.114 0.412 0.592 1
Nb2 Nb 0.222 0.421 0.908 1
C1 C 0.086 0.257 0.000 1
C2 C 0.250 0.250 0.500 1
S1 S 0.000 0.435 0.250 1
S2 S 0.177 0.094 0.750 1
# - mass density (g/cm³) = 8.0
# - E_tot (eV per cell) = -405.40
# - total magnetization (μB/cell) = 0.00

***

Record 3
# Lu2Nb4Sb3C3 PBE optimized geometry
data_Lu2Nb4Sb3C3
_chemical_formula_sum 'Lu8 Nb16 Sb12 C12'
_cell_length_a 10.216
_cell_length_b 5.946
_cell_length_c 14.106
_cell_angle_alpha 90.00
_cell_angle_beta 104.10
_cell_angle_gamma 90.00
_space_group_name_H-M_alt 'C 1 2/c 1'
_space_group_IT_number 15
loop_
_space_group_symop_operation_xyz
'x,y,z'
'-x,-y,-z'
'-x,y,-z+1/2'
'x,-y,z+1/2'
'x+1/2,y+1/2,z'
'-x+1/2,-y+1/2,-z'
'-x+1/2,y+1/2,-z+1/2'
'x+1/2,-y+1/2,z+1/2'
loop_
_atom_site_label
_atom_site_type_symbol
_atom_site_fract_x
_atom_site_fract_y
_atom_site_fract_z
_atom_site_occupancy
Lu1 Lu 0.047 0.079 0.403 1
Nb1 Nb 0.110 0.411 0.578 1
Nb2 Nb 0.227 0.421 0.922 1
Sb1 Sb 0.000 0.447 0.250 1
Sb2 Sb 0.184 0.100 0.752 1
C1 C 0.086 0.256 0.000 1
C2 C 0.250 0.250 0.500 1
# - mass density (g/cm³) = 9.0
# - E_tot (eV per cell) = -381.99
# - total magnetization (μB/cell) = 0.01

***

Record 4
# Lu4Nb2Si3C3 PBE optimized geometry
data_Lu4Nb2Si3C3
_chemical_formula_sum 'Lu16 Nb8 Si12 C12'
_cell_length_a 10.103
_cell_length_b 5.858
_cell_length_c 14.029
_cell_angle_alpha 90.00
_cell_angle_beta 104.39
_cell_angle_gamma 90.00
_space_group_name_H-M_alt 'C 1 2/c 1'
_space_group_IT_number 15
loop_
_space_group_symop_operation_xyz
'x,y,z'
'-x,-y,-z'
'-x,y,-z+1/2'
'x,-y,z+1/2'
'x+1/2,y+1/2,z'
'-x+1/2,-y+1/2,-z'
'-x+1/2,y+1/2,-z+1/2'
'x+1/2,-y+1/2,z+1/2'
loop_
_atom_site_label
_atom_site_type_symbol
_atom_site_fract_x
_atom_site_fract_y
_atom_site_fract_z
_atom_site_occupancy
Lu1 Lu 0.118 0.075 0.102 1
Lu2 Lu 0.211 0.088 0.398 1
Nb1 Nb 0.060 0.413 0.922 1
Si1 Si 0.000 0.167 0.750 1
Si2 Si 0.125 0.459 0.248 1
C1 C 0.079 0.264 0.500 1
C2 C 0.250 0.250 0.000 1
# - mass density (g/cm³) = 8.3
# - E_tot (eV per cell) = -357.81
# - total magnetization (μB/cell) = 0.02

***

Record 5
# Lu2Nb4Si3C3 PBE optimized geometry
data_Lu2Nb4Si3C3
_chemical_formula_sum 'Lu8 Nb16 Si12 C12'
_cell_length_a 9.643
_cell_length_b 5.558
_cell_length_c 13.932
_cell_angle_alpha 90.00
_cell_angle_beta 104.29
_cell_angle_gamma 90.00
_space_group_name_H-M_alt 'C 1 2/c 1'
_space_group_IT_number 15
loop_
_space_group_symop_operation_xyz
'x,y,z'
'-x,-y,-z'
'-x,y,-z+1/2'
'x,-y,z+1/2'
'x+1/2,y+1/2,z'
'-x+1/2,-y+1/2,-z'
'-x+1/2,y+1/2,-z+1/2'
'x+1/2,-y+1/2,z+1/2'
loop_
_atom_site_label
_atom_site_type_symbol
_atom_site_fract_x
_atom_site_fract_y
_atom_site_fract_z
_atom_site_occupancy
Lu1 Lu 0.040 0.081 0.388 1
Nb1 Nb 0.114 0.408 0.586 1
Nb2 Nb 0.223 0.420 0.914 1
Si1 Si 0.000 0.442 0.750 1
Si2 Si 0.237 0.150 0.752 1
C1 C 0.084 0.253 0.000 1
C2 C 0.250 0.250 0.500 1
# - mass density (g/cm³) = 7.7
# - E_tot (eV per cell) = -401.00
# - total magnetization (μB/cell) = 0.01

***

Record 6
# Lu4Nb2Sn3C3 PBE optimized geometry
data_Lu4Nb2Sn3C3
_chemical_formula_sum 'Lu16 Nb8 Sn12 C12'
_cell_length_a 10.242
_cell_length_b 5.947
_cell_length_c 15.134
_cell_angle_alpha 90.00
_cell_angle_beta 103.29
_cell_angle_gamma 90.00
_space_group_name_H-M_alt 'C 1 2/c 1'
_space_group_IT_number 15
loop_
_space_group_symop_operation_xyz
'x,y,z'
'-x,-y,-z'
'-x,y,-z+1/2'
'x,-y,z+1/2'
'x+1/2,y+1/2,z'
'-x+1/2,-y+1/2,-z'
'-x+1/2,y+1/2,-z+1/2'
'x+1/2,-y+1/2,z+1/2'
loop_
_atom_site_label
_atom_site_type_symbol
_atom_site_fract_x
_atom_site_fract_y
_atom_site_fract_z
_atom_site_occupancy
Lu1 Lu 0.114 0.075 0.089 1
Lu2 Lu 0.216 0.087 0.411 1
Nb1 Nb 0.061 0.414 0.925 1
Sn1 Sn 0.000 0.119 0.750 1
Sn2 Sn 0.151 0.431 0.248 1
C1 C 0.078 0.267 0.500 1
C2 C 0.250 0.250 0.000 1
# - mass density (g/cm³) = 9.5
# - E_tot (eV per cell) = -340.52
# - total magnetization (μB/cell) = 0.01

***

Record 7
# Lu3NbSn2C2 PBE optimized geometry
data_Lu3NbSn2C2
_chemical_formula_sum 'Lu3 Nb1 Sn2 C2'
_cell_length_a 3.4292
_cell_length_b 3.4292
_cell_length_c 15.0915
_cell_angle_alpha 90.00
_cell_angle_beta 90.00
_cell_angle_gamma 120.00
_space_group_name_H-M_alt 'P 3 m 1'
_space_group_IT_number 156
loop_
_space_group_symop_operation_xyz
'x,y,z'
'-y,x-y,z'
'-x+y,-x,z'
'-y,-x,z'
'-x+y,y,z'
'x,x-y,z'
loop_
_atom_site_label
_atom_site_type_symbol
_atom_site_fract_x
_atom_site_fract_y
_atom_site_fract_z
_atom_site_occupancy
Lu1 Lu 0.0000 0.0000 0.0000 1
Lu2 Lu 0.0000 0.0000 0.3389 1
Lu3 Lu 0.6667 0.3333 0.8278 1
Nb1 Nb 0.6667 0.3333 0.5017 1
Sn1 Sn 0.0000 0.0000 0.6531 1
Sn2 Sn 0.6667 0.3333 0.1710 1
C1 C 0.3333 0.6667 0.4282 1
C2 C 0.3333 0.6667 0.9132 1
# - mass density (g/cm³) = 9.5
# - E_tot (eV per cell) = -54.52
# - total magnetization (μB/cell) = 0.01

***

Record 8
# Lu4Nb2Zn3C3 PBE optimized geometry
data_Lu4Nb2Zn3C3
_chemical_formula_sum 'Lu16 Nb8 Zn12 C12'
_cell_length_a 10.151
_cell_length_b 5.829
_cell_length_c 14.660
_cell_angle_alpha 90.00
_cell_angle_beta 104.38
_cell_angle_gamma 90.00
_space_group_name_H-M_alt 'C 1 2/c 1'
_space_group_IT_number 15
loop_
_space_group_symop_operation_xyz
'x,y,z'
'-x,-y,-z'
'-x,y,-z+1/2'
'x,-y,z+1/2'
'x+1/2,y+1/2,z'
'-x+1/2,-y+1/2,-z'
'-x+1/2,y+1/2,-z+1/2'
'x+1/2,-y+1/2,z+1/2'
loop_
_atom_site_label
_atom_site_type_symbol
_atom_site_fract_x
_atom_site_fract_y
_atom_site_fract_z
_atom_site_occupancy
Lu1 Lu 0.119 0.073 0.101 1
Lu2 Lu 0.208 0.091 0.399 1
Nb1 Nb 0.063 0.410 0.927 1
Zn1 Zn 0.000 0.153 0.750 1
Zn2 Zn 0.127 0.465 0.248 1
C1 C 0.077 0.269 0.500 1
C2 C 0.250 0.250 0.000 1
# - mass density (g/cm³) = 8.8
# - E_tot (eV per cell) = -297.76
# - total magnetization (μB/cell) = 0.00

***

Record 9
# Lu4NiC3 PBE optimized geometry
data_Lu4NiC3
_chemical_formula_sum 'Lu8 Ni2 C6'
_cell_length_a 3.4598
_cell_length_b 3.4598
_cell_length_c 25.0322
_cell_angle_alpha 90.00
_cell_angle_beta 90.00
_cell_angle_gamma 120.00
_space_group_name_H-M_alt 'P 63/m m c'
_space_group_IT_number 194
_space_group_name_Hall '-P 6c 2c'
loop_
_atom_site_label
_atom_site_type_symbol
_atom_site_fract_x
_atom_site_fract_y
_atom_site_fract_z
_atom_site_occupancy
Lu1 Lu 0.0000 0.0000 0.1674 1
Lu2 Lu 0.3333 0.6667 0.0579 1
Ni1 Ni 0.3333 0.6667 0.2500 1
C1 C 0.0000 0.0000 0.0000 1
C2 C 0.3333 0.6667 0.6177 1
# - mass density (g/cm³) = 10.2
# - E_tot (eV per cell) = -105.72
# - total magnetization (μB/cell) = 0.22

***

Record 10
# Lu3NiC2 PBE optimized geometry
data_Lu3NiC2
_chemical_formula_sum 'Lu6 Ni2 C4'
_cell_length_a 3.4554
_cell_length_b 3.4554
_cell_length_c 19.2251
_cell_angle_alpha 90.00
_cell_angle_beta 90.00
_cell_angle_gamma 120.00
_space_group_name_H-M_alt 'P 63/m m c'
_space_group_IT_number 194
_space_group_name_Hall '-P 6c 2c'
loop_
_atom_site_label
_atom_site_type_symbol
_atom_site_fract_x
_atom_site_fract_y
_atom_site_fract_z
_atom_site_occupancy
Lu1 Lu 0.0000 0.0000 0.0000 1
Lu2 Lu 0.3333 0.6667 0.1437 1
Ni1 Ni 0.0000 0.0000 0.2500 1
C1 C 0.3333 0.6667 0.5779 1
# - mass density (g/cm³) = 10.2
# - E_tot (eV per cell) = -77.86
# - total magnetization (μB/cell) = 0.01

***

Record 11
# Lu4NiPbC2 PBE optimized geometry
data_Lu4NiPbC2
_chemical_formula_sum 'Lu4 Ni1 Pb1 C2'
_cell_length_a 3.5400
_cell_length_b 3.5400
_cell_length_c 14.3145
_cell_angle_alpha 90.00
_cell_angle_beta 90.00
_cell_angle_gamma 120.00
_space_group_name_H-M_alt 'P -6 m 2'
_space_group_IT_number 187
_space_group_name_Hall 'P -6 2'
loop_
_atom_site_label
_atom_site_type_symbol
_atom_site_fract_x
_atom_site_fract_y
_atom_site_fract_z
_atom_site_occupancy
Lu1 Lu 0.0000 0.0000 0.1335 1
Lu2 Lu 0.3333 0.6667 0.3142 1
Ni1 Ni 0.3333 0.6667 0.0000 1
Pb1 Pb 0.0000 0.0000 0.5000 1
C1 C 0.6667 0.3333 0.2280 1
# - mass density (g/cm³) = 10.6
# - E_tot (eV per cell) = -49.16
# - total magnetization (μB/cell) = 0.02

***

Record 12
# Lu4NiPbC2 PBE optimized geometry
data_Lu4NiPbC2
_chemical_formula_sum 'Lu4 Ni1 Pb1 C2'
_cell_length_a 3.5398
_cell_length_b 3.5398
_cell_length_c 14.3360
_cell_angle_alpha 90.00
_cell_angle_beta 90.00
_cell_angle_gamma 120.00
_space_group_name_H-M_alt 'P -6 m 2'
_space_group_IT_number 187
_space_group_name_Hall 'P -6 2'
loop_
_atom_site_label
_atom_site_type_symbol
_atom_site_fract_x
_atom_site_fract_y
_atom_site_fract_z
_atom_site_occupancy
Lu1 Lu 0.0000 0.0000 0.1325 1
Lu2 Lu 0.6667 0.3333 0.3132 1
Ni1 Ni 0.6667 0.3333 0.0000 1
Pb1 Pb 0.0000 0.0000 0.5000 1
C1 C 0.3333 0.6667 0.2268 1
# - mass density (g/cm³) = 10.6
# - E_tot (eV per cell) = -49.16
# - total magnetization (μB/cell) = 0.03

***

Record 13
# Lu4NiC2S PBE optimized geometry
data_Lu4NiC2S
_chemical_formula_sum 'Lu4 Ni1 C2 S1'
_cell_length_a 3.5742
_cell_length_b 3.5742
_cell_length_c 12.7322
_cell_angle_alpha 90.00
_cell_angle_beta 90.00
_cell_angle_gamma 120.00
_space_group_name_H-M_alt 'P -6 m 2'
_space_group_IT_number 187
_space_group_name_Hall 'P -6 2'
loop_
_atom_site_label
_atom_site_type_symbol
_atom_site_fract_x
_atom_site_fract_y
_atom_site_fract_z
_atom_site_occupancy
Lu1 Lu 0.0000 0.0000 0.1458 1
Lu2 Lu 0.3333 0.6667 0.3494 1
Ni1 Ni 0.0000 0.0000 0.5000 1
C1 C 0.6667 0.3333 0.2469 1
S1 S 0.3333 0.6667 0.0000 1
# - mass density (g/cm³) = 9.6
# - E_tot (eV per cell) = -52.58
# - total magnetization (μB/cell) = 0.00

***

Record 14
# Lu4NiSbC2 PBE optimized geometry
data_Lu4NiSbC2
_chemical_formula_sum 'Lu4 Ni1 Sb1 C2'
_cell_length_a 3.5469
_cell_length_b 3.5469
_cell_length_c 13.9255
_cell_angle_alpha 90.00
_cell_angle_beta 90.00
_cell_angle_gamma 120.00
_space_group_name_H-M_alt 'P -6 m 2'
_space_group_IT_number 187
_space_group_name_Hall 'P -6 2'
loop_
_atom_site_label
_atom_site_type_symbol
_atom_site_fract_x
_atom_site_fract_y
_atom_site_fract_z
_atom_site_occupancy
Lu1 Lu 0.0000 0.0000 0.1363 1
Lu2 Lu 0.3333 0.6667 0.3219 1
Ni1 Ni 0.3333 0.6667 0.0000 1
Sb1 Sb 0.0000 0.0000 0.5000 1
C1 C 0.6667 0.3333 0.2336 1
# - mass density (g/cm³) = 9.9
# - E_tot (eV per cell) = -50.15
# - total magnetization (μB/cell) = 0.01

***

Record 15
# Lu2Sc4Ni3C3 PBE optimized geometry
data_Lu2Sc4Ni3C3
_chemical_formula_sum 'Lu8 Sc16 Ni12 C12'
_cell_length_a 10.001
_cell_length_b 5.772
_cell_length_c 13.485
_cell_angle_alpha 90.00
_cell_angle_beta 104.88
_cell_angle_gamma 90.00
_space_group_name_H-M_alt 'C 1 2/c 1'
_space_group_IT_number 15
loop_
_space_group_symop_operation_xyz
'x,y,z'
'-x,-y,-z'
'-x,y,-z+1/2'
'x,-y,z+1/2'
'x+1/2,y+1/2,z'
'-x+1/2,-y+1/2,-z'
'-x+1/2,y+1/2,-z+1/2'
'x+1/2,-y+1/2,z+1/2'
loop_
_atom_site_label
_atom_site_type_symbol
_atom_site_fract_x
_atom_site_fract_y
_atom_site_fract_z
_atom_site_occupancy
Lu1 Lu 0.043 0.082 0.387 1
Sc1 Sc 0.114 0.413 0.591 1
Sc2 Sc 0.220 0.419 0.909 1
Ni1 Ni 0.000 0.412 0.750 1
Ni2 Ni 0.249 0.164 0.750 1
C1 C 0.083 0.249 0.000 1
C2 C 0.250 0.250 0.500 1
# - mass density (g/cm³) = 6.5
# - E_tot (eV per cell) = -334.24
# - total magnetization (μB/cell) = 0.03

***

Record 16
# LuNiSnC PBE optimized geometry
data_LuNiSnC
_chemical_formula_sum 'Lu2 Ni2 Sn2 C2'
_cell_length_a 4.2221
_cell_length_b 4.2221
_cell_length_c 8.4516
_cell_angle_alpha 90.00
_cell_angle_beta 90.00
_cell_angle_gamma 120.00
_space_group_name_H-M_alt 'P -6 m 2'
_space_group_IT_number 187
_space_group_name_Hall 'P -6 2'
loop_
_atom_site_label
_atom_site_type_symbol
_atom_site_fract_x
_atom_site_fract_y
_atom_site_fract_z
_atom_site_occupancy
Lu1 Lu 0.0000 0.0000 0.0000 1
Lu2 Lu 0.3333 0.6667 0.5000 1
Ni1 Ni 0.0000 0.0000 0.3439 1
Sn1 Sn 0.6667 0.3333 0.2416 1
C1 C 0.3333 0.6667 0.2048 1
# - mass density (g/cm³) = 9.3
# - energy relative to the lowest polymorph listed for this composition (meV per atom) = 360
# - total magnetization (μB/cell) = 0.01

***

Record 17
# LuNiSnC PBE optimized geometry
data_LuNiSnC
_chemical_formula_sum 'Lu2 Ni2 Sn2 C2'
_cell_length_a 4.2879
_cell_length_b 4.2879
_cell_length_c 7.7710
_cell_angle_alpha 90.00
_cell_angle_beta 90.00
_cell_angle_gamma 120.00
_space_group_name_H-M_alt 'P -3 m 1'
_space_group_IT_number 164
_space_group_name_Hall '-P 3 2"'
loop_
_atom_site_label
_atom_site_type_symbol
_atom_site_fract_x
_atom_site_fract_y
_atom_site_fract_z
_atom_site_occupancy
Lu1 Lu 0.3333 0.6667 0.2109 1
Ni1 Ni 0.3333 0.6667 0.6049 1
Sn1 Sn 0.0000 0.0000 0.0000 1
Sn2 Sn 0.0000 0.0000 0.5000 1
C1 C 0.3333 0.6667 0.8519 1
# - mass density (g/cm³) = 9.8
# - energy relative to the lowest polymorph listed for this composition (meV per atom) = 0
# - total magnetization (μB/cell) = 0.00

***

Record 18
# LuNiSnC PBE optimized geometry
data_LuNiSnC
_chemical_formula_sum 'Lu2 Ni2 Sn2 C2'
_cell_length_a 4.6206
_cell_length_b 4.6206
_cell_length_c 7.0677
_cell_angle_alpha 90.00
_cell_angle_beta 90.00
_cell_angle_gamma 120.00
_space_group_name_H-M_alt 'P 63 m c'
_space_group_IT_number 186
_space_group_name_Hall 'P 6c -2c'
loop_
_atom_site_label
_atom_site_type_symbol
_atom_site_fract_x
_atom_site_fract_y
_atom_site_fract_z
_atom_site_occupancy
Lu1 Lu 0.3333 0.6667 0.0000 1
Ni1 Ni 0.3333 0.6667 0.4082 1
Sn1 Sn 0.0000 0.0000 0.2673 1
C1 C 0.3333 0.6667 0.6648 1
# - mass density (g/cm³) = 9.3
# - energy relative to the lowest polymorph listed for this composition (meV per atom) = 167
# - total magnetization (μB/cell) = 0.00